First-principles (PBE) data for crystalline SrHoMg2Au4 at its relaxed geometry, as listed in Alexandria via LeMat-Bulk.

```
SrHoMg2Au4
1.0
-3.3940 3.2524 0.6024
-3.3362 0.5854 -3.3147
-7.6590 -5.1707 3.4075
Sr Ho Mg Au
1 1 2 4
direct
0.0000 0.0000 0.0000 Sr
0.5000 0.5000 0.5000 Ho
0.7578 0.7578 0.7265 Mg
0.2422 0.2422 0.2735 Mg
0.3972 0.3972 0.8083 Au
0.8807 0.8807 0.3578 Au
0.1193 0.1193 0.6422 Au
0.6028 0.6028 0.1917 Au
```

Results
* volume: 23.00 Å³/atom
* space-group type: R-3m
* VASP energy: -3.52 eV/atom
* formation energy from the elements: -705 meV per atom
* DOS at the Fermi energy: 0.591 states/eV/atom

***

First-principles (PBE) data for crystalline LiAg4Au7 at its relaxed geometry, as listed in Alexandria via LeMat-Bulk.

```
LiAg4Au7
1.0
4.9207 1.1294 0.4355
3.2802 6.2056 1.6403
-1.1577 -0.7723 7.9850
Li Ag Au
1 4 7
direct
0.0000 0.0000 0.0000 Li
0.6662 0.6138 0.2506 Ag
0.3338 0.3862 0.7494 Ag
0.7776 0.8979 0.6663 Ag
0.2224 0.1021 0.3337 Ag
0.7389 0.5038 0.9224 Au
0.2611 0.4962 0.0776 Au
0.0568 0.1478 0.6910 Au
0.9432 0.8522 0.3090 Au
0.4778 0.6816 0.5813 Au
0.5000 0.0000 0.0000 Au
0.5222 0.3184 0.4187 Au
```

Results
* volume: 18.36 Å³/atom
* space-group type: P-1
* VASP energy: -3.09 eV/atom
* energy relative to the lowest polymorph listed for this composition: 0 meV per atom
* formation energy from the elements: -68 meV per atom
* DOS at the Fermi energy: 0.177 states/eV/atom

***

First-principles (PBE) data for crystalline Pm2Si3Ni5 at its relaxed geometry, as listed in Alexandria via LeMat-Bulk.

```
Pm2Si3Ni5
1.0
3.8978 0.0000 -0.6640
0.0000 6.4339 0.0000
0.1611 0.0000 12.7188
Pm Si Ni
4 6 10
direct
0.4788 0.7639 0.9575 Pm
0.1764 0.7710 0.3527 Pm
0.8236 0.2710 0.6473 Pm
0.5212 0.2639 0.0425 Pm
0.7741 0.7222 0.5481 Si
0.6193 0.4949 0.2386 Si
0.0643 0.9675 0.1286 Si
0.2259 0.2222 0.4519 Si
0.9357 0.4675 0.8714 Si
0.3807 0.9949 0.7614 Si
0.4117 0.3336 0.8234 Ni
0.2708 0.5343 0.5416 Ni
0.7292 0.0343 0.4584 Ni
0.1308 0.2708 0.2616 Ni
0.2914 0.9177 0.5827 Ni
0.9298 0.0889 0.8597 Ni
0.7086 0.4177 0.4173 Ni
0.8692 0.7708 0.7384 Ni
0.0702 0.5889 0.1403 Ni
0.5883 0.8336 0.1766 Ni
```

Results
* formation energy from raw total energies: -0.55 eV per atom
* volume: 15.98 Å³/atom
* space-group type: Cmc2_1
* VASP energy: -6.02 eV/atom
* energy relative to the lowest polymorph listed for this composition: 120 meV per atom
* DOS at the Fermi energy: 0.645 states/eV/atom

***

First-principles (PBE) data for crystalline LaTaBi2O8 at its relaxed geometry, as listed in Alexandria via LeMat-Bulk.

```
LaTaBi2O8
1.0
-0.8385 -4.6061 2.0651
1.6367 -2.3063 -4.2632
6.5714 -0.0525 2.5514
La Ta Bi O
1 1 2 8
direct
0.0000 0.0000 0.5000 La
0.0000 0.0000 0.0000 Ta
0.5000 0.5000 0.7593 Bi
0.5000 0.5000 0.2407 Bi
0.1846 0.8142 0.2110 O
0.7158 0.7169 0.0000 O
0.8154 0.1858 0.2110 O
0.8154 0.1858 0.7890 O
0.2842 0.2831 0.0000 O
0.1846 0.8142 0.7890 O
0.6763 0.6783 0.5000 O
0.3237 0.3217 0.5000 O
```

Results
* formation energy from raw total energies: -2.04 eV per atom
* volume: 15.38 Å³/atom
* space-group type: P2/m
* VASP energy: -7.39 eV/atom
* DOS at the Fermi energy: 0.262 states/eV/atom